# AsPCl2

AsPCl2 after structural relaxation (GGA-PBE, Alexandria).

The space group is Cmm2 (No. 35) and the conventional cell measures 3.522, 9.599 and 7.897 Å, with angles of 90.00, 90.00 and 90.00 degrees. The asymmetric unit holds As at (0.000, 0.000, 0.000), P at (0.000, 0.500, 0.187), Cl at (0.000, 0.000, 0.422) and Cl at (0.000, 0.500, 0.751).

As for the energy: -12.77 eV/f.u. As for the calculated density: 2.20 g cm⁻³. For the formation energy without anion corrections, the calculation gives 246 meV/atom. The offset from the most stable computed form comes out at 617 meV per atom. As for the density of states at the Fermi level: 3.8 states/eV/cell.